[1]
The following is a PBE calculation of InHg2H after structural relaxation, from the Alexandria database.

Structure (POSCAR):
```
InHg2H
1.0
-1.097 -3.394 -0.205
5.487 -1.689 4.009
-4.234 2.729 5.190
Hg H In
4 2 2
Cartesian
-1.230 -1.782 5.272
1.385 -0.572 3.722
-3.193 0.644 5.892
3.349 -2.998 3.102
2.355 -0.901 6.077
-2.200 -1.453 2.917
1.226 -2.477 7.139
-1.070 0.123 1.855
```

[2]
The following is a PBE calculation of InHg2H2 after structural relaxation, from the Alexandria database.

Structure (POSCAR):
```
InHg2H2
1.0
3.558 0.000 0.000
0.000 3.558 0.000
1.779 1.779 6.846
Hg H In
2 2 1
Cartesian
1.779 1.779 2.109
3.558 3.558 4.738
1.779 3.558 3.423
3.558 1.779 3.423
0.000 0.000 0.000
```

[3]
The following is a PBE calculation of In12Hg3H5 after structural relaxation, from the Alexandria database.

Structure (POSCAR):
```
In12Hg3H5
1.0
-10.892 7.492 -0.896
-3.443 -12.794 0.179
6.506 2.980 11.152
In H Hg
48 20 12
Cartesian
-3.423 0.097 3.195
-3.938 4.699 9.442
-0.737 2.512 9.726
-5.910 1.831 9.430
-4.405 -2.419 7.240
-5.572 1.619 0.723
-1.950 -0.256 6.328
-5.323 4.963 1.654
-8.423 -1.826 1.554
-2.707 -0.357 9.671
-3.891 -7.021 0.994
4.096 3.164 10.881
-5.122 -1.965 0.764
-5.302 0.643 6.074
2.186 2.266 7.618
-5.879 -2.066 4.107
0.022 -3.267 6.636
-0.193 -6.620 5.729
2.339 -5.554 7.866
0.041 -6.259 10.920
-3.452 -10.599 1.225
-7.850 0.945 3.799
-4.282 4.393 6.044
-2.506 -7.284 8.781
-0.926 3.493 6.255
-5.390 -6.178 7.294
-3.547 -6.714 4.391
-10.167 3.232 2.569
-11.925 -5.486 -0.446
-7.445 -1.235 8.294
-6.902 -5.815 4.180
-0.383 -1.087 2.141
-7.636 4.298 4.706
-11.603 0.393 1.291
-7.091 -4.834 0.709
-1.564 -9.732 4.509
-1.919 -4.153 1.005
-6.264 7.410 5.926
-2.256 -3.941 9.712
-4.377 8.277 9.210
-2.526 -2.965 4.362
1.543 -0.230 5.406
-9.371 -2.091 5.029
0.594 -0.496 8.882
-10.014 -4.588 2.817
-2.438 3.856 3.141
3.774 -2.715 9.144
-7.870 3.938 -0.485
-7.167 -2.651 -0.358
0.365 3.445 8.050
-4.132 -0.016 1.103
-2.193 5.236 5.128
-6.802 0.794 7.692
-3.914 -1.161 5.218
-3.697 -2.306 9.332
1.532 -4.907 5.665
0.000 0.000 0.000
-5.446 3.746 -0.448
-6.325 5.220 6.231
-1.504 -7.542 4.204
-8.193 -5.767 2.385
-2.906 6.627 9.109
0.052 -1.062 6.813
-7.881 -1.260 3.622
-4.922 -8.949 1.327
3.253 1.490 5.576
-1.721 -6.397 0.089
-1.026 -3.116 2.743
-8.647 1.194 0.789
-5.228 2.602 3.667
-7.115 -3.713 6.455
-8.334 5.702 2.027
-0.714 1.391 3.980
0.818 -3.516 9.646
-11.299 -2.667 0.745
-3.219 2.120 7.871
0.506 -8.023 8.408
-2.600 -4.924 6.768
3.471 0.345 9.691
-4.610 -4.442 2.564
```

[4]
The following is a PBE calculation of In3HgH2 after structural relaxation, from the Alexandria database.

Structure (POSCAR):
```
In3HgH2
1.0
4.507 0.000 0.000
0.000 10.656 4.317
0.000 3.556 6.532
In Hg H
6 2 4
Cartesian
1.127 10.170 5.516
3.381 4.041 5.334
3.381 1.677 2.189
1.127 12.534 8.661
3.381 7.928 4.722
1.127 6.283 6.128
3.381 9.259 7.765
1.127 4.953 3.085
2.254 2.914 1.181
2.254 7.741 3.137
0.000 2.914 1.181
4.507 7.741 3.137
```

[5]
The following is a PBE calculation of InHg3H2 after structural relaxation, from the Alexandria database.

Structure (POSCAR):
```
InHg3H2
1.0
7.540 0.000 -3.014
0.626 12.744 1.565
-2.692 3.380 4.204
Hg H In
6 4 2
Cartesian
3.196 4.116 1.449
6.478 5.636 -1.280
4.227 3.186 -1.236
-1.004 10.488 4.035
1.247 12.938 3.991
2.278 12.008 1.306
1.580 3.076 1.326
0.082 9.448 2.832
3.894 13.048 1.429
5.392 6.676 -0.077
0.790 9.558 1.046
7.376 3.186 -2.494
```

[6]
The following is a PBE calculation of InHg2H after structural relaxation, from the Alexandria database.

Structure (POSCAR):
```
InHg2H
1.0
3.437 0.047 0.003
0.053 5.590 -0.033
-1.744 -2.817 4.616
In Hg H
1 2 1
Cartesian
2.311 2.719 0.717
0.575 -0.522 2.328
-1.111 2.252 3.724
0.612 1.589 0.726
```

[7]
The following is a PBE calculation of InHg2H2 after structural relaxation, from the Alexandria database.

Structure (POSCAR):
```
InHg2H2
1.0
-3.576 2.269 5.541
-5.025 -4.647 -1.340
1.826 -2.625 2.254
Hg In H
4 2 4
Cartesian
-3.828 -0.994 5.340
-5.673 -3.741 3.635
-2.947 -4.008 1.115
-1.102 -1.261 2.819
-4.301 -1.189 2.101
0.000 0.000 0.000
-2.016 0.047 1.689
-4.736 0.320 4.210
-3.865 -2.697 -0.009
-6.585 -2.425 2.513
```

[8]
The following is a PBE calculation of InHg2H after structural relaxation, from the Alexandria database.

Structure (POSCAR):
```
InHg2H
1.0
6.573 0.000 0.047
0.000 10.387 0.000
-1.697 0.000 5.027
Hg H In
8 4 4
Cartesian
0.636 9.228 1.976
0.132 0.515 4.607
-0.213 4.034 4.490
5.089 4.034 0.584
4.744 0.515 0.467
4.240 9.228 3.098
3.895 5.709 2.980
0.980 5.709 2.093
2.438 9.016 2.537
2.438 2.691 2.537
3.287 7.884 0.023
3.287 3.823 0.023
0.667 2.101 1.958
5.058 7.295 0.603
-0.182 7.295 4.471
4.209 2.101 3.116
```

[9]
The following is a PBE calculation of InHg2H after structural relaxation, from the Alexandria database.

Structure (POSCAR):
```
InHg2H
1.0
-1.099 -1.277 -2.980
-2.864 -4.020 2.400
-5.667 0.387 -0.229
In Hg H
1 2 1
Cartesian
-4.204 -3.006 1.742
-1.716 -1.837 0.475
-5.340 -1.017 -2.421
-5.567 -2.842 0.209
```

[10]
The following is a PBE calculation of In2Hg3H4 after structural relaxation, from the Alexandria database.

Structure (POSCAR):
```
In2Hg3H4
1.0
-4.449 1.092 11.119
-4.328 -3.046 -1.793
1.377 -5.368 0.718
H Hg In
8 6 4
Cartesian
-5.664 -4.711 10.113
-1.736 -2.611 -0.070
-4.475 -4.836 4.098
-3.352 -5.635 6.716
-3.482 -2.277 10.115
-4.047 -1.688 3.327
-3.918 -5.046 -0.071
-2.924 -2.487 5.945
-1.603 -4.335 2.675
-1.958 -4.585 7.366
-4.367 -3.245 -0.233
-5.441 -2.738 2.678
-3.032 -4.078 10.276
-5.797 -2.988 7.368
-2.393 -2.177 4.242
-2.253 -5.907 0.475
-5.147 -1.416 9.568
-5.007 -5.146 5.801
```

[11]
The following is a PBE calculation of InHg5H2 after structural relaxation, from the Alexandria database.

Structure (POSCAR):
```
InHg5H2
1.0
-2.197 2.197 8.708
2.197 -2.197 8.708
2.197 2.197 -8.708
In Hg H
1 5 2
Cartesian
0.000 0.000 0.000
0.000 2.197 2.816
0.000 0.000 8.708
2.197 0.000 2.816
2.197 0.000 5.892
0.000 2.197 5.892
0.000 0.000 5.793
0.000 0.000 11.622
```

[12]
The following is a PBE calculation of In5Hg12H3 after structural relaxation, from the Alexandria database.

Structure (POSCAR):
```
In5Hg12H3
1.0
14.121 0.000 0.000
-4.707 13.313 0.000
-4.707 -6.657 11.530
H In Hg
12 20 48
Cartesian
8.237 9.153 1.441
3.530 7.489 7.206
3.530 0.000 8.647
-5.884 6.657 8.647
1.177 6.657 2.882
8.237 4.160 1.441
-3.530 2.496 10.089
5.884 0.832 4.324
10.591 0.000 2.882
1.177 -0.832 4.324
-1.177 5.825 7.206
-3.530 -2.496 10.089
4.707 -3.328 5.765
5.884 -4.160 10.089
5.884 5.825 4.324
5.884 3.328 8.647
1.177 -3.328 8.647
3.530 2.496 1.441
7.061 0.000 0.000
0.000 0.000 0.000
-1.177 0.832 7.206
3.530 9.985 2.882
-2.354 -3.328 5.765
-2.354 6.657 0.000
1.177 4.160 10.089
-1.177 10.817 1.441
4.707 6.657 0.000
2.354 3.328 5.765
8.237 -0.832 7.206
-4.707 3.328 5.765
-1.177 3.328 2.882
-3.530 7.489 4.324
2.190 5.618 7.679
-4.473 10.329 4.309
6.522 2.554 1.456
6.826 12.225 1.026
2.494 5.303 1.484
4.941 1.896 6.195
-0.164 0.513 2.940
4.847 1.962 11.100
2.517 1.039 3.851
4.871 6.144 8.590
-1.815 -3.312 8.705
-0.140 8.010 1.484
6.522 9.969 2.825
0.164 7.695 7.679
9.554 6.048 1.914
2.588 8.552 5.335
6.920 7.265 1.914
-0.538 7.447 4.281
6.826 2.984 4.309
-4.941 5.568 10.504
-1.815 4.102 10.074
2.213 -1.962 11.100
2.892 5.866 4.281
4.543 -1.039 3.851
-2.213 -0.609 9.615
-4.847 0.609 9.615
-0.140 4.694 0.430
8.876 -4.102 10.074
9.250 0.526 4.739
2.213 1.354 10.045
-2.119 -5.568 10.504
7.224 -0.513 2.940
9.648 1.089 1.026
-2.517 7.170 8.590
-2.190 -0.526 4.739
-0.234 4.761 5.335
9.180 -3.672 7.221
5.245 -0.790 7.249
1.815 0.790 7.249
-4.169 10.759 1.456
-4.543 6.131 6.791
-2.119 3.672 7.221
2.494 8.619 0.430
2.119 -1.896 6.195
9.952 3.345 2.825
4.847 -1.354 10.045
6.897 7.182 6.791
-5.245 3.312 8.705
```

[13]
The following is a PBE calculation of In2HgH after structural relaxation, from the Alexandria database.

Structure (POSCAR):
```
In2HgH
1.0
-0.141 -3.816 3.156
-4.067 -0.828 2.705
-2.870 -3.918 -0.977
In Hg H
2 1 1
Cartesian
-5.308 -6.422 3.664
-1.769 -2.141 1.221
-3.539 -4.281 2.442
0.000 0.000 0.000
```

[14]
The following is a PBE calculation of In2Hg2H after structural relaxation, from the Alexandria database.

Structure (POSCAR):
```
In2Hg2H
1.0
6.313 0.000 0.000
0.000 6.313 0.000
0.000 0.000 5.980
H In Hg
2 4 4
Cartesian
3.157 3.157 0.000
0.000 0.000 0.000
1.131 2.026 0.000
5.182 4.288 0.000
4.288 1.131 0.000
2.026 5.182 0.000
1.956 5.113 2.990
5.113 4.357 2.990
1.200 1.956 2.990
4.357 1.200 2.990
```

[15]
The following is a PBE calculation of InHg6H2 after structural relaxation, from the Alexandria database.

Structure (POSCAR):
```
InHg6H2
1.0
-0.480 -3.867 3.308
6.140 -3.240 2.826
-7.435 6.485 2.805
H Hg In
2 6 1
Cartesian
-2.434 0.155 2.841
0.659 -0.778 6.099
2.105 -2.114 3.350
-2.197 2.411 2.814
-0.002 0.818 5.881
-3.879 1.492 5.590
-1.772 -1.441 3.058
0.423 -3.034 6.125
0.000 0.000 0.000
```

[16]
The following is a PBE calculation of InHg2H after structural relaxation, from the Alexandria database.

Structure (POSCAR):
```
InHg2H
1.0
0.099 -1.372 -4.994
1.775 -4.504 2.661
-6.947 0.522 2.787
In Hg H
2 4 2
Cartesian
-5.682 -0.234 2.765
0.186 -3.913 0.670
-2.187 -0.270 0.895
-3.155 -3.480 1.830
-5.989 -2.446 0.575
-2.201 -2.686 -1.121
-4.876 -3.848 4.018
-4.022 -0.187 1.890
```

[17]
The following is a PBE calculation of InHg3H after structural relaxation, from the Alexandria database.

Structure (POSCAR):
```
InHg3H
1.0
-1.596 -4.439 -0.897
0.711 -1.184 4.599
-4.473 1.395 1.051
Hg In H
3 1 1
Cartesian
-0.798 -2.220 -0.448
0.355 -0.592 2.299
-2.236 0.698 0.525
-2.679 -2.114 2.377
0.000 0.000 0.000
```

| no. | E (eV for the cell shown) |
| --- | --- |
| 1 | -12.0 |
| 2 | -7.9 |
| 3 | -183.1 |
| 4 | -27.5 |
| 5 | -18.1 |
| 6 | -6.0 |
| 7 | -16.7 |
| 8 | -23.9 |
| 9 | -6.0 |
| 10 | -34.6 |
| 11 | -8.3 |
| 12 | -89.8 |
| 13 | -7.7 |
| 14 | -17.2 |
| 15 | -9.6 |
| 16 | -12.0 |
| 17 | -5.5 |